(1)
Here is a relaxed Th2VB10 crystal from the Alexandria database. Energies are from PBE.

Computed properties:
Its spin magnetization is 1.7 μB/f.u. The calculation puts the density of states at the Fermi level at 8.15 states/eV/cell. The value obtained for the calculated formation energy is -0.494 eV/atom.

The structure in CIF format:
```
data_Th2VB10
_space_group_name_H-M_alt 'P b a m'
_space_group_IT_number 55
_space_group_name_Hall '-P 2 2ab'
_cell_length_a 5.7529
_cell_length_b 11.4888
_cell_length_c 4.1822
_cell_angle_alpha 90.00
_cell_angle_beta 90.00
_cell_angle_gamma 90.00
loop_
_atom_site_label
_atom_site_type_symbol
_atom_site_fract_x
_atom_site_fract_y
_atom_site_fract_z
_atom_site_occupancy
Th1 Th 0.2146 0.1347 0.0000 1
V1 V 0.0000 0.5000 0.5000 1
B1 B 0.0583 0.3085 0.5000 1
B2 B 0.1216 0.9592 0.5000 1
B3 B 0.1310 0.8029 0.5000 1
B4 B 0.2235 0.3817 0.2007 1
```

(2)
Here is a relaxed YThB4 crystal from the Alexandria database. Energies are from PBE.

Computed properties:
Its spin magnetization is 0.0 μB/f.u. The calculation puts the density of states at the Fermi level at 9.20 states/eV/cell. The value obtained for the calculated formation energy is -0.313 eV/atom.

The structure in CIF format:
```
data_YThB4
_space_group_name_H-M_alt 'P b a m'
_space_group_IT_number 55
_space_group_name_Hall '-P 2 2ab'
_cell_length_a 6.2610
_cell_length_b 12.4136
_cell_length_c 4.0600
_cell_angle_alpha 90.00
_cell_angle_beta 90.00
_cell_angle_gamma 90.00
loop_
_atom_site_label
_atom_site_type_symbol
_atom_site_fract_x
_atom_site_fract_y
_atom_site_fract_z
_atom_site_occupancy
Y1 Y 0.1417 0.0869 0.0000 1
Th1 Th 0.1300 0.3445 0.0000 1
B1 B 0.0330 0.8071 0.5000 1
B2 B 0.1192 0.9514 0.5000 1
B3 B 0.1283 0.5238 0.5000 1
B4 B 0.2124 0.6936 0.5000 1
```

(3)
Here is a relaxed YThB12 crystal from the Alexandria database. Energies are from PBE.

Computed properties:
Its spin magnetization is 0.0 μB/f.u. The calculation puts the density of states at the Fermi level at 2.15 states/eV/cell. The value obtained for the calculated formation energy is -0.438 eV/atom.

The structure in CIF format:
```
data_YThB12
_space_group_name_H-M_alt 'P 4/m m m'
_space_group_IT_number 123
_space_group_name_Hall '-P 4 2'
_cell_length_a 4.1063
_cell_length_b 4.1063
_cell_length_c 8.2174
_cell_angle_alpha 90.00
_cell_angle_beta 90.00
_cell_angle_gamma 90.00
loop_
_atom_site_label
_atom_site_type_symbol
_atom_site_fract_x
_atom_site_fract_y
_atom_site_fract_z
_atom_site_occupancy
Y1 Y 0.0000 0.0000 0.0000 1
Th1 Th 0.0000 0.0000 0.5000 1
B1 B 0.1980 0.5000 0.2489 1
B2 B 0.5000 0.5000 0.0988 1
B3 B 0.5000 0.5000 0.4006 1
```

(4)
Here is a relaxed Th2ZnB crystal from the Alexandria database. Energies are from PBE.

Computed properties:
Its spin magnetization is 0.0 μB/f.u. The calculation puts the density of states at the Fermi level at 11.48 states/eV/cell. The value obtained for the calculated formation energy is 0.186 eV/atom.

The structure in CIF format:
```
data_Th2ZnB
_space_group_name_H-M_alt 'R -3 m'
_space_group_IT_number 166
_space_group_name_Hall '-R 3 2"'
_cell_length_a 3.6554
_cell_length_b 3.6554
_cell_length_c 28.7953
_cell_angle_alpha 90.00
_cell_angle_beta 90.00
_cell_angle_gamma 120.00
loop_
_atom_site_label
_atom_site_type_symbol
_atom_site_fract_x
_atom_site_fract_y
_atom_site_fract_z
_atom_site_occupancy
Th1 Th 0.0000 0.0000 0.1142 1
Zn1 Zn 0.0000 0.0000 0.0000 1
B1 B 0.0000 0.0000 0.5000 1
```